## Ti6TlIn (GGA-PBE)

Data for a relaxed structure of Ti6TlIn.

Geometry as POSCAR:
```
Ti6TlIn
1.0
5.919 0.000 0.000
-2.960 5.126 0.000
0.000 0.000 4.798
Ti Tl In
6 1 1
direct
0.005 0.502 0.000
0.170 0.341 0.500
0.170 0.830 0.500
0.498 0.502 0.000
0.498 0.995 0.000
0.659 0.830 0.500
0.000 0.000 0.000
0.667 0.333 0.500
```

Computed properties:
**Formation enthalpy at 0 K**: -43 kJ/mol of formula units
**Total DFT energy (no corrections)**: -6.62 eV/atom
**Excess energy over the best structure of this formula in the dataset**: 0.000 eV per atom
**Size of the total moment**: 0.00 μB per formula unit